# RbMg2VAg | Alexandria via LeMat-Bulk | GGA-PBE | optimized geometry
data_RbMg2VAg
_chemical_formula_sum 'Rb1 Mg2 V1 Ag1'
_cell_length_a 5.2926
_cell_length_b 5.2926
_cell_length_c 5.3911
_cell_angle_alpha 90.00
_cell_angle_beta 90.00
_cell_angle_gamma 90.00
_symmetry_space_group_name_H-M 'P 4/m m m'
_symmetry_Int_Tables_number 123
_symmetry_space_group_name_Hall '-P 4 2'
loop_
_atom_site_label
_atom_site_type_symbol
_atom_site_fract_x
_atom_site_fract_y
_atom_site_fract_z
Rb1 Rb 0.0000 0.0000 0.0000
Mg1 Mg 0.0000 0.5000 0.5000
V1 V 0.5000 0.5000 0.0000
Ag1 Ag 0.5000 0.5000 0.5000
# electronic total energy: -13.188 eV for the cell shown
# calculated density: 3.221 g/cm³
# formation enthalpy at 0 K: 2.9 eV/f.u.


# MgWCl2 | Alexandria via LeMat-Bulk | GGA-PBE | optimized geometry
data_MgWCl2
_chemical_formula_sum 'Mg4 W4 Cl8'
_cell_length_a 6.4519
_cell_length_b 6.4519
_cell_length_c 6.4519
_cell_angle_alpha 90.00
_cell_angle_beta 90.00
_cell_angle_gamma 90.00
_symmetry_space_group_name_H-M 'F m -3 m'
_symmetry_Int_Tables_number 225
_symmetry_space_group_name_Hall '-F 4 2 3'
loop_
_atom_site_label
_atom_site_type_symbol
_atom_site_fract_x
_atom_site_fract_y
_atom_site_fract_z
Mg1 Mg 0.0000 0.0000 0.0000
W1 W 0.0000 0.0000 0.5000
Cl1 Cl 0.2500 0.2500 0.2500
# electronic total energy: -62.031 eV for the cell shown
# calculated density: 6.901 g/cm³
# uncorrected formation energy: 0.68 eV per atom


# Rb2BePS4 | Alexandria via LeMat-Bulk | GGA-PBE | optimized geometry
data_Rb2BePS4
_chemical_formula_sum 'Rb16 Be8 P8 S32'
_cell_length_a 5.5219
_cell_length_b 13.6113
_cell_length_c 23.7927
_cell_angle_alpha 90.00
_cell_angle_beta 90.00
_cell_angle_gamma 90.00
_symmetry_space_group_name_H-M 'F d d d'
_symmetry_Int_Tables_number 70
loop_
_symmetry_equiv_pos_as_xyz
'x,y,z'
'-x,-y,-z'
'-x+1/4,-y+1/4,z'
'x+1/4,y+1/4,-z'
'x,-y+1/4,-z+1/4'
'-x,y+1/4,z+1/4'
'-x+1/4,y,-z+1/4'
'x+1/4,-y,z+1/4'
'x,y+1/2,z+1/2'
'-x,-y+1/2,-z+1/2'
'-x+1/4,-y+3/4,z+1/2'
'x+1/4,y+3/4,-z+1/2'
'x,-y+3/4,-z+3/4'
'-x,y+3/4,z+3/4'
'-x+1/4,y+1/2,-z+3/4'
'x+1/4,-y+1/2,z+3/4'
'x+1/2,y,z+1/2'
'-x+1/2,-y,-z+1/2'
'-x+3/4,-y+1/4,z+1/2'
'x+3/4,y+1/4,-z+1/2'
'x+1/2,-y+1/4,-z+3/4'
'-x+1/2,y+1/4,z+3/4'
'-x+3/4,y,-z+3/4'
'x+3/4,-y,z+3/4'
'x+1/2,y+1/2,z'
'-x+1/2,-y+1/2,-z'
'-x+3/4,-y+3/4,z'
'x+3/4,y+3/4,-z'
'x+1/2,-y+3/4,-z+1/4'
'-x+1/2,y+3/4,z+1/4'
'-x+3/4,y+1/2,-z+1/4'
'x+3/4,-y+1/2,z+1/4'
loop_
_atom_site_label
_atom_site_type_symbol
_atom_site_fract_x
_atom_site_fract_y
_atom_site_fract_z
Rb1 Rb 0.1250 0.1250 0.3022
Be1 Be 0.1250 0.1250 0.1250
P1 P 0.1250 0.1250 0.6250
S1 S 0.1184 0.2886 0.4233
# electronic total energy: -271.196 eV for the cell shown
# calculated density: 2.520 g/cm³
# uncorrected formation energy: -0.79 eV per atom


# Ac2PmGa | Alexandria via LeMat-Bulk | GGA-PBE | optimized geometry
data_Ac2PmGa
_chemical_formula_sum 'Ac2 Pm1 Ga1'
_cell_length_a 5.1948
_cell_length_b 5.1948
_cell_length_c 4.9330
_cell_angle_alpha 90.00
_cell_angle_beta 90.00
_cell_angle_gamma 90.00
_symmetry_space_group_name_H-M 'P 4/m m m'
_symmetry_Int_Tables_number 123
_symmetry_space_group_name_Hall '-P 4 2'
loop_
_atom_site_label
_atom_site_type_symbol
_atom_site_fract_x
_atom_site_fract_y
_atom_site_fract_z
Ac1 Ac 0.0000 0.5000 0.0000
Pm1 Pm 0.0000 0.0000 0.5000
Ga1 Ga 0.5000 0.5000 0.5000
# electronic total energy: -16.474 eV for the cell shown
# calculated density: 8.341 g/cm³
# formation enthalpy at 0 K: -0.5 eV/f.u.


# Tl2PbCl4 | Alexandria via LeMat-Bulk | GGA-PBE | optimized geometry
data_Tl2PbCl4
_chemical_formula_sum 'Tl2 Pb1 Cl4'
_cell_length_a 4.3579
_cell_length_b 8.1553
_cell_length_c 8.3882
_cell_angle_alpha 117.57
_cell_angle_beta 90.13
_cell_angle_gamma 105.35
_symmetry_space_group_name_H-M 'P -1'
_symmetry_Int_Tables_number 2
loop_
_symmetry_equiv_pos_as_xyz
'x,y,z'
'-x,-y,-z'
loop_
_atom_site_label
_atom_site_type_symbol
_atom_site_fract_x
_atom_site_fract_y
_atom_site_fract_z
Tl1 Tl 0.2023 0.4021 0.1863
Pb1 Pb 0.5000 0.0000 0.5000
Cl1 Cl 0.1261 0.2543 0.5022
Cl2 Cl 0.3810 0.7637 0.1087
# electronic total energy: -23.323 eV for the cell shown
# calculated density: 4.991 g/cm³
# uncorrected formation energy: -1.07 eV per atom


# TaRu3F | Alexandria via LeMat-Bulk | GGA-PBE | optimized geometry
data_TaRu3F
_chemical_formula_sum 'Ta1 Ru3 F1'
_cell_length_a 4.7900
_cell_length_b 4.7900
_cell_length_c 4.7900
_cell_angle_alpha 90.00
_cell_angle_beta 90.00
_cell_angle_gamma 90.00
_symmetry_space_group_name_H-M 'P m -3 m'
_symmetry_Int_Tables_number 221
_symmetry_space_group_name_Hall '-P 4 2 3'
loop_
_atom_site_label
_atom_site_type_symbol
_atom_site_fract_x
_atom_site_fract_y
_atom_site_fract_z
Ta1 Ta 0.0000 0.0000 0.0000
Ru1 Ru 0.0000 0.0000 0.5000
F1 F 0.5000 0.5000 0.5000
# electronic total energy: -33.696 eV for the cell shown
# calculated density: 7.602 g/cm³
# uncorrected formation energy: 1.57 eV per atom


# KIn2P | Alexandria via LeMat-Bulk | GGA-PBE | optimized geometry
data_KIn2P
_chemical_formula_sum 'K2 In4 P2'
_cell_length_a 4.1130
_cell_length_b 5.9436
_cell_length_c 9.6428
_cell_angle_alpha 90.00
_cell_angle_beta 90.00
_cell_angle_gamma 90.00
_symmetry_space_group_name_H-M 'I m m 2'
_symmetry_Int_Tables_number 44
loop_
_symmetry_equiv_pos_as_xyz
'x,y,z'
'-x,-y,z'
'-x,y,z'
'x,-y,z'
'x+1/2,y+1/2,z+1/2'
'-x+1/2,-y+1/2,z+1/2'
'-x+1/2,y+1/2,z+1/2'
'x+1/2,-y+1/2,z+1/2'
loop_
_atom_site_label
_atom_site_type_symbol
_atom_site_fract_x
_atom_site_fract_y
_atom_site_fract_z
K1 K 0.0000 0.0000 0.0000
In1 In 0.0000 0.0000 0.4234
In2 In 0.0000 0.5000 0.1972
P1 P 0.0000 0.5000 0.7586
# electronic total energy: -23.851 eV for the cell shown
# calculated density: 4.222 g/cm³
# formation enthalpy at 0 K: 0.1 eV/f.u.


# Na2LiDyI6 | Alexandria via LeMat-Bulk | GGA-PBE | optimized geometry
data_Na2LiDyI6
_chemical_formula_sum 'Na2 Li1 Dy1 I6'
_cell_length_a 7.8927
_cell_length_b 7.8929
_cell_length_c 8.3800
_cell_angle_alpha 89.97
_cell_angle_beta 61.93
_cell_angle_gamma 60.00
_symmetry_space_group_name_H-M 'P 1'
_symmetry_Int_Tables_number 1
loop_
_symmetry_equiv_pos_as_xyz
'x,y,z'
loop_
_atom_site_label
_atom_site_type_symbol
_atom_site_fract_x
_atom_site_fract_y
_atom_site_fract_z
Na1 Na 0.0000 0.0000 0.0000
Na2 Na 0.0114 0.4942 0.4836
Li1 Li 0.6055 0.1976 0.5913
Dy1 Dy 0.6241 0.6878 0.0636
I1 I 0.1215 0.5737 0.8017
I2 I 0.1271 0.8075 0.3038
I3 I 0.5032 0.9232 0.8013
I4 I 0.5039 0.0653 0.3036
I5 I 0.7616 0.4308 0.3039
I6 I 0.7721 0.3047 0.8015
# electronic total energy: -31.243 eV for the cell shown
# calculated density: 4.273 g/cm³
# uncorrected formation energy: -1.28 eV per atom


# ThTiMnGe2 | Alexandria via LeMat-Bulk | GGA-PBE | optimized geometry
data_ThTiMnGe2
_chemical_formula_sum 'Th2 Ti2 Mn2 Ge4'
_cell_length_a 4.0918
_cell_length_b 4.0918
_cell_length_c 11.3383
_cell_angle_alpha 90.00
_cell_angle_beta 90.00
_cell_angle_gamma 90.00
_symmetry_space_group_name_H-M 'I -4 m 2'
_symmetry_Int_Tables_number 119
_symmetry_space_group_name_Hall 'I -4 -2'
loop_
_atom_site_label
_atom_site_type_symbol
_atom_site_fract_x
_atom_site_fract_y
_atom_site_fract_z
Th1 Th 0.0000 0.0000 0.0000
Ti1 Ti 0.0000 0.5000 0.2500
Mn1 Mn 0.0000 0.5000 0.7500
Ge1 Ge 0.0000 0.0000 0.3857
# electronic total energy: -73.167 eV for the cell shown
# calculated density: 8.400 g/cm³
# formation enthalpy at 0 K: -2.9 eV/f.u.


# Be2TcCl | Alexandria via LeMat-Bulk | GGA-PBE | optimized geometry
data_Be2TcCl
_chemical_formula_sum 'Be8 Tc4 Cl4'
_cell_length_a 5.8204
_cell_length_b 5.8204
_cell_length_c 5.8204
_cell_angle_alpha 90.00
_cell_angle_beta 90.00
_cell_angle_gamma 90.00
_symmetry_space_group_name_H-M 'F -4 3 m'
_symmetry_Int_Tables_number 216
_symmetry_space_group_name_Hall 'F -4 2 3'
loop_
_atom_site_label
_atom_site_type_symbol
_atom_site_fract_x
_atom_site_fract_y
_atom_site_fract_z
Be1 Be 0.0000 0.0000 0.0000
Be2 Be 0.2500 0.2500 0.2500
Tc1 Tc 0.0000 0.0000 0.5000
Cl1 Cl 0.2500 0.2500 0.7500
# electronic total energy: -64.739 eV for the cell shown
# calculated density: 5.103 g/cm³
# uncorrected formation energy: 0.87 eV per atom